# Tb9Ho11Th4

Tb9Ho11Th4 after structural relaxation (PBE-GGA, Alexandria).

Lattice parameters (Å, degrees): 3.5801 15.4607 15.4607 116.40 90.00 90.00
With the nearest neighbours (Å) after each atom.
Fractional coordinates of all 24 atoms:
Tb1 0.5000 0.6118 0.1732  8 Ho 3.47-3.58, 3 Tb 3.50-3.58, 1 Th 3.66
Tb2 0.5000 0.3882 0.8268  8 Ho 3.47-3.58, 3 Tb 3.50-3.58, 1 Th 3.66
Tb3 0.5000 0.1732 0.6118  8 Ho 3.47-3.58, 3 Tb 3.50-3.58, 1 Th 3.66
Tb4 0.5000 0.8268 0.3882  8 Ho 3.47-3.58, 3 Tb 3.50-3.58, 1 Th 3.66
Tb5 0.5000 0.7970 0.9840  8 Ho 3.48-3.53, 3 Tb 3.57-3.58, 1 Th 3.62
Tb6 0.5000 0.2030 0.0160  8 Ho 3.48-3.53, 3 Tb 3.57-3.58, 1 Th 3.62
Tb7 0.5000 0.9840 0.7970  8 Ho 3.48-3.53, 3 Tb 3.57-3.58, 1 Th 3.62
Tb8 0.5000 0.0160 0.2030  8 Ho 3.48-3.53, 3 Tb 3.57-3.58, 1 Th 3.62
Tb9 0.5000 0.5000 0.5000  4 Th 3.55, 2 Tb 3.58, 4 Ho 3.72
Ho1 0.0000 0.5961 0.9663  6 Tb 3.47-3.58, 4 Ho 3.56-3.58, 2 Th 3.66
Ho2 0.0000 0.4039 0.0337  6 Tb 3.47-3.58, 4 Ho 3.56-3.58, 2 Th 3.66
Ho3 0.0000 0.9663 0.5961  6 Tb 3.47-3.58, 4 Ho 3.56-3.58, 2 Th 3.66
Ho4 0.0000 0.0337 0.4039  6 Tb 3.47-3.58, 4 Ho 3.56-3.58, 2 Th 3.66
Ho5 0.0000 0.6240 0.3760  4 Th 3.44, 6 Tb 3.54-3.72, 2 Ho 3.58
Ho6 0.0000 0.3760 0.6240  4 Th 3.44, 6 Tb 3.54-3.72, 2 Ho 3.58
Ho7 0.0000 0.8132 0.1868  8 Tb 3.52, 4 Ho 3.57-3.58
Ho8 0.0000 0.1868 0.8132  8 Tb 3.52, 4 Ho 3.57-3.58
Ho9 0.0000 0.0000 0.0000  4 Ho 3.49-3.58, 8 Tb 3.53
Ho10 0.0000 0.7861 0.7861  4 Th 3.45, 4 Tb 3.48, 3 Ho 3.49-3.58
Ho11 0.0000 0.2139 0.2139  4 Th 3.45, 4 Tb 3.48, 3 Ho 3.49-3.58
Th1 0.5000 0.5834 0.7544  6 Ho 3.44-3.66, 3 Tb 3.55-3.66, 2 Th 3.58
Th2 0.5000 0.4166 0.2456  6 Ho 3.44-3.66, 3 Tb 3.55-3.66, 2 Th 3.58
Th3 0.5000 0.7544 0.5834  6 Ho 3.44-3.66, 3 Tb 3.55-3.66, 2 Th 3.58
Th4 0.5000 0.2456 0.4166  6 Ho 3.44-3.66, 3 Tb 3.55-3.66, 2 Th 3.58

* calculated volume: 31.94 Å³/atom
* E: -119.9 eV for the cell shown